1.
{"formula": "NaTbMg17", "functional": "PBE", "state": "optimized geometry", "space_group": "No. 160", "e_form_ev_per_fu": 0.44, "cell": [[5.1564, 2.9771, 5.1129], [-5.1564, 2.9771, 5.1129], [0.0000, -5.9541, 5.1129]], "species": ["Na", "Tb", "Mg", "Mg", "Mg", "Mg", "Mg", "Mg", "Mg", "Mg", "Mg", "Mg", "Mg", "Mg", "Mg", "Mg", "Mg", "Mg", "Mg"], "frac_coords": [[0.0000, 0.0000, 0.0000], [0.6694, 0.6694, 0.6694], [0.0361, 0.3424, 0.6450], [0.0361, 0.6450, 0.3424], [0.1841, 0.6885, 0.6885], [0.2409, 0.2409, 0.2409], [0.3424, 0.0361, 0.6450], [0.3424, 0.6450, 0.0361], [0.3467, 0.3467, 0.8367], [0.3467, 0.8367, 0.3467], [0.4398, 0.4398, 0.4398], [0.5013, 0.9889, 0.9889], [0.6450, 0.0361, 0.3424], [0.6450, 0.3424, 0.0361], [0.6885, 0.1841, 0.6885], [0.6885, 0.6885, 0.1841], [0.8367, 0.3467, 0.3467], [0.9889, 0.5013, 0.9889], [0.9889, 0.9889, 0.5013]]}

2.
{"formula": "La9Pr2Sc", "functional": "PBE", "state": "optimized geometry", "space_group": "No. 123", "e_form_ev_per_fu": 0.19, "cell": [[5.2011, 0.0000, 0.0000], [0.0000, 5.2011, 0.0000], [0.0000, 0.0000, 15.6533]], "species": ["La", "La", "La", "La", "La", "La", "La", "La", "La", "Pr", "Pr", "Sc"], "frac_coords": [[0.0000, 0.0000, 0.0000], [0.0000, 0.0000, 0.3310], [0.0000, 0.0000, 0.6690], [0.0000, 0.5000, 0.1611], [0.0000, 0.5000, 0.5000], [0.0000, 0.5000, 0.8389], [0.5000, 0.0000, 0.1611], [0.5000, 0.0000, 0.5000], [0.5000, 0.0000, 0.8389], [0.5000, 0.5000, 0.3299], [0.5000, 0.5000, 0.6701], [0.5000, 0.5000, 0.0000]]}

3.
{"formula": "YTmGaAu", "functional": "PBE", "state": "optimized geometry", "e_above_lowest_polymorph_mev_per_atom": 22, "space_group": "No. 216", "e_form_ev_per_fu": -2.86, "cell": [[0.0000, 3.5843, 3.5843], [3.5843, 0.0000, 3.5843], [3.5843, 3.5843, 0.0000]], "species": ["Y", "Tm", "Ga", "Au"], "frac_coords": [[0.0000, 0.0000, 0.0000], [0.5000, 0.5000, 0.5000], [0.2500, 0.2500, 0.2500], [0.7500, 0.7500, 0.7500]]}

4.
{"formula": "AlHgMo2", "functional": "PBE", "state": "optimized geometry", "e_above_lowest_polymorph_mev_per_atom": 155, "space_group": "No. 119", "e_form_ev_per_fu": 1.22, "cell": [[-2.0542, 2.0542, 3.9503], [2.0542, -2.0542, 3.9503], [2.0542, 2.0542, -3.9503]], "species": ["Al", "Hg", "Mo", "Mo"], "frac_coords": [[0.0000, 0.0000, 0.0000], [0.2500, 0.7500, 0.5000], [0.5000, 0.5000, 0.0000], [0.7500, 0.2500, 0.5000]]}

5.
{"formula": "TaMn2Br", "functional": "PBE", "state": "optimized geometry", "e_form_raw_ev_per_atom": 0.210, "e_above_lowest_polymorph_mev_per_atom": 0, "space_group": "No. 47", "cell": [[3.1865, 0.0000, 0.0000], [0.0000, 3.2764, 0.0000], [0.0000, 0.0000, 6.9556]], "species": ["Ta", "Mn", "Mn", "Br"], "frac_coords": [[0.0000, 0.0000, 0.0000], [0.5000, 0.5000, 0.1944], [0.5000, 0.5000, 0.8056], [0.0000, 0.5000, 0.5000]]}

6.
{"formula": "AcErGe2Pt5", "functional": "PBE", "state": "optimized geometry", "space_group": "No. 123", "e_form_ev_per_fu": -7.39, "cell": [[4.4381, 0.0000, 0.0000], [0.0000, 4.4381, 0.0000], [0.0000, 0.0000, 8.9388]], "species": ["Ac", "Er", "Ge", "Ge", "Pt", "Pt", "Pt", "Pt", "Pt"], "frac_coords": [[0.0000, 0.0000, 0.0000], [0.0000, 0.0000, 0.5000], [0.5000, 0.5000, 0.3638], [0.5000, 0.5000, 0.6362], [0.0000, 0.5000, 0.2437], [0.0000, 0.5000, 0.7563], [0.5000, 0.0000, 0.2437], [0.5000, 0.0000, 0.7563], [0.5000, 0.5000, 0.0000]]}

7.
{"formula": "V8PN2", "functional": "PBE", "state": "optimized geometry", "e_form_raw_ev_per_atom": -0.442, "space_group": "No. 12", "cell": [[3.2020, -4.7638, 0.0000], [3.2020, 4.7638, 0.0000], [-0.9203, 0.0000, 4.1031]], "species": ["V", "V", "V", "V", "V", "V", "V", "V", "P", "N", "N"], "frac_coords": [[0.0733, 0.3320, 0.5957], [0.2475, 0.7525, 0.0000], [0.3320, 0.0733, 0.5957], [0.3887, 0.3887, 0.2035], [0.6113, 0.6113, 0.7965], [0.6680, 0.9267, 0.4043], [0.7525, 0.2475, 0.0000], [0.9267, 0.6680, 0.4043], [0.0000, 0.0000, 0.0000], [0.3141, 0.6859, 0.5000], [0.6859, 0.3141, 0.5000]]}

8.
{"formula": "CsLiPaCl6", "functional": "PBE", "state": "optimized geometry", "e_form_raw_ev_per_atom": -1.948, "space_group": "No. 163", "cell": [[6.9092, 0.0000, 0.0000], [-3.4546, 5.9835, 0.0000], [0.0000, 0.0000, 15.6969]], "species": ["Cs", "Cs", "Li", "Li", "Pa", "Pa", "Cl", "Cl", "Cl", "Cl", "Cl", "Cl", "Cl", "Cl", "Cl", "Cl", "Cl", "Cl"], "frac_coords": [[0.0000, 0.0000, 0.0000], [0.0000, 0.0000, 0.5000], [0.3333, 0.6667, 0.2500], [0.6667, 0.3333, 0.7500], [0.3333, 0.6667, 0.7500], [0.6667, 0.3333, 0.2500], [0.0019, 0.3744, 0.1535], [0.0019, 0.6275, 0.3465], [0.3725, 0.3744, 0.3465], [0.3725, 0.9981, 0.1535], [0.3744, 0.0019, 0.6535], [0.3744, 0.3725, 0.8465], [0.6256, 0.6275, 0.1535], [0.6256, 0.9981, 0.3465], [0.6275, 0.0019, 0.8465], [0.6275, 0.6256, 0.6535], [0.9981, 0.3725, 0.6535], [0.9981, 0.6256, 0.8465]]}

9.
{"formula": "PuTlCdPd", "functional": "PBE", "state": "optimized geometry", "space_group": "No. 216", "e_form_ev_per_fu": -0.50, "cell": [[0.0000, 3.5811, 3.5811], [3.5811, 0.0000, 3.5811], [3.5811, 3.5811, 0.0000]], "species": ["Pu", "Tl", "Cd", "Pd"], "frac_coords": [[0.0000, 0.0000, 0.0000], [0.7500, 0.7500, 0.7500], [0.5000, 0.5000, 0.5000], [0.2500, 0.2500, 0.2500]]}

10.
{"formula": "Y2Ni9Sn", "functional": "PBE", "state": "optimized geometry", "space_group": "No. 166", "e_form_ev_per_fu": -2.87, "cell": [[2.4598, 1.4202, 8.1470], [-2.4598, 1.4202, 8.1470], [0.0000, -2.8404, 8.1470]], "species": ["Y", "Y", "Ni", "Ni", "Ni", "Ni", "Ni", "Ni", "Ni", "Ni", "Ni", "Sn"], "frac_coords": [[0.1364, 0.1364, 0.1364], [0.8636, 0.8636, 0.8636], [0.0816, 0.5830, 0.5830], [0.3331, 0.3331, 0.3331], [0.4170, 0.4170, 0.9184], [0.4170, 0.9184, 0.4170], [0.5000, 0.5000, 0.5000], [0.5830, 0.0816, 0.5830], [0.5830, 0.5830, 0.0816], [0.6669, 0.6669, 0.6669], [0.9184, 0.4170, 0.4170], [0.0000, 0.0000, 0.0000]]}

11.
{"formula": "Tm5AlCd3", "functional": "PBE", "state": "optimized geometry", "space_group": "No. 193", "e_form_ev_per_fu": -2.08, "cell": [[9.0662, 0.0000, 0.0000], [-4.5331, 7.8515, 0.0000], [0.0000, 0.0000, 6.5018]], "species": ["Tm", "Tm", "Tm", "Tm", "Tm", "Tm", "Tm", "Tm", "Tm", "Tm", "Al", "Al", "Cd", "Cd", "Cd", "Cd", "Cd", "Cd"], "frac_coords": [[0.0000, 0.2863, 0.2500], [0.0000, 0.7137, 0.7500], [0.2863, 0.0000, 0.2500], [0.2863, 0.2863, 0.7500], [0.3333, 0.6667, 0.0000], [0.3333, 0.6667, 0.5000], [0.6667, 0.3333, 0.0000], [0.6667, 0.3333, 0.5000], [0.7137, 0.0000, 0.7500], [0.7137, 0.7137, 0.2500], [0.0000, 0.0000, 0.0000], [0.0000, 0.0000, 0.5000], [0.0000, 0.3743, 0.7500], [0.0000, 0.6257, 0.2500], [0.3743, 0.0000, 0.7500], [0.3743, 0.3743, 0.2500], [0.6257, 0.0000, 0.2500], [0.6257, 0.6257, 0.7500]]}

12.
{"formula": "VFe3Pd6", "functional": "PBE", "state": "optimized geometry", "space_group": "No. 11", "e_form_ev_per_fu": -1.01, "cell": [[7.2336, 0.0000, 0.0000], [0.0000, 4.4225, 0.0000], [-3.1009, 0.0000, 8.9541]], "species": ["V", "V", "Fe", "Fe", "Fe", "Fe", "Fe", "Fe", "Pd", "Pd", "Pd", "Pd", "Pd", "Pd", "Pd", "Pd", "Pd", "Pd", "Pd", "Pd"], "frac_coords": [[0.1083, 0.2500, 0.0709], [0.8917, 0.7500, 0.9291], [0.1020, 0.7500, 0.7344], [0.2974, 0.7500, 0.5363], [0.2994, 0.2500, 0.8666], [0.7006, 0.7500, 0.1334], [0.7026, 0.2500, 0.4637], [0.8980, 0.2500, 0.2656], [0.0868, 0.7500, 0.2239], [0.0993, 0.2500, 0.5710], [0.2877, 0.7500, 0.0254], [0.2928, 0.2500, 0.3653], [0.4949, 0.7500, 0.8344], [0.4994, 0.7500, 0.3345], [0.5006, 0.2500, 0.6655], [0.5051, 0.2500, 0.1656], [0.7072, 0.7500, 0.6347], [0.7123, 0.2500, 0.9746], [0.9007, 0.7500, 0.4290], [0.9132, 0.2500, 0.7761]]}

13.
{"formula": "K2CuF4", "functional": "PBE", "state": "optimized geometry", "e_form_raw_ev_per_atom": -2.186, "e_above_lowest_polymorph_mev_per_atom": 115, "space_group": "No. 11", "cell": [[6.5965, 0.0000, 0.0000], [0.0000, 5.5532, 0.0000], [-2.7935, 0.0000, 6.1512]], "species": ["K", "K", "K", "K", "Cu", "Cu", "F", "F", "F", "F", "F", "F", "F", "F"], "frac_coords": [[0.0027, 0.2500, 0.3544], [0.3524, 0.2500, 0.0227], [0.6476, 0.7500, 0.9773], [0.9973, 0.7500, 0.6456], [0.3625, 0.7500, 0.3594], [0.6375, 0.2500, 0.6406], [0.0424, 0.7500, 0.2799], [0.2878, 0.7500, 0.0461], [0.3805, 0.5007, 0.6120], [0.3805, 0.9993, 0.6120], [0.6195, 0.0007, 0.3880], [0.6195, 0.4993, 0.3880], [0.7122, 0.2500, 0.9539], [0.9576, 0.2500, 0.7201]]}

14.
{"formula": "TaBe17Os", "functional": "PBE", "state": "optimized geometry", "space_group": "No. 160", "e_form_ev_per_fu": -3.16, "cell": [[3.6479, 2.1061, 3.5351], [-3.6479, 2.1061, 3.5351], [0.0000, -4.2123, 3.5351]], "species": ["Ta", "Be", "Be", "Be", "Be", "Be", "Be", "Be", "Be", "Be", "Be", "Be", "Be", "Be", "Be", "Be", "Be", "Be", "Os"], "frac_coords": [[0.0000, 0.0000, 0.0000], [0.0127, 0.0127, 0.4918], [0.0127, 0.4918, 0.0127], [0.1527, 0.6685, 0.6685], [0.3127, 0.3127, 0.8056], [0.3127, 0.8056, 0.3127], [0.3625, 0.6540, 0.9642], [0.3625, 0.9642, 0.6540], [0.4918, 0.0127, 0.0127], [0.5563, 0.5563, 0.5563], [0.6540, 0.3625, 0.9642], [0.6540, 0.9642, 0.3625], [0.6685, 0.1527, 0.6685], [0.6685, 0.6685, 0.1527], [0.7572, 0.7572, 0.7572], [0.8056, 0.3127, 0.3127], [0.9642, 0.3625, 0.6540], [0.9642, 0.6540, 0.3625], [0.3249, 0.3249, 0.3249]]}

15.
{"formula": "RbSrTl2", "functional": "PBE", "state": "optimized geometry", "e_above_lowest_polymorph_mev_per_atom": 261, "space_group": "No. 122", "e_form_ev_per_fu": 0.27, "cell": [[-4.7971, 4.7971, 3.7896], [4.7971, -4.7971, 3.7896], [4.7971, 4.7971, -3.7896]], "species": ["Rb", "Rb", "Sr", "Sr", "Tl", "Tl", "Tl", "Tl"], "frac_coords": [[0.0000, 0.0000, 0.0000], [0.7500, 0.2500, 0.5000], [0.2500, 0.7500, 0.5000], [0.5000, 0.5000, 0.0000], [0.1443, 0.1250, 0.5193], [0.3750, 0.8557, 0.9807], [0.6057, 0.6250, 0.4807], [0.8750, 0.3943, 0.0193]]}

16.
{"formula": "Tb2PmPr4Dy", "functional": "PBE", "state": "optimized geometry", "space_group": "No. 10", "e_form_ev_per_fu": 0.11, "cell": [[6.3205, 0.0000, 0.0000], [0.0000, 3.6624, 0.0000], [-2.1389, 0.0000, 11.8223]], "species": ["Tb", "Tb", "Pm", "Pr", "Pr", "Pr", "Pr", "Dy"], "frac_coords": [[0.0000, 0.0000, 0.0000], [0.0000, 0.5000, 0.5000], [0.5000, 0.0000, 0.5000], [0.2491, 0.5000, 0.2482], [0.2501, 0.0000, 0.7511], [0.7499, 0.0000, 0.2489], [0.7509, 0.5000, 0.7518], [0.5000, 0.5000, 0.0000]]}

17.
{"formula": "Pm2YCu3", "functional": "PBE", "state": "optimized geometry", "e_above_lowest_polymorph_mev_per_atom": 4, "space_group": "No. 164", "e_form_ev_per_fu": -1.13, "cell": [[5.0121, 0.0000, 0.0000], [-2.5061, 4.3406, 0.0000], [0.0000, 0.0000, 6.1215]], "species": ["Pm", "Pm", "Y", "Cu", "Cu", "Cu"], "frac_coords": [[0.3333, 0.6667, 0.1693], [0.6667, 0.3333, 0.8307], [0.0000, 0.0000, 0.5000], [0.0000, 0.0000, 0.0000], [0.3333, 0.6667, 0.6586], [0.6667, 0.3333, 0.3414]]}

18.
{"formula": "Mg14SiSn", "functional": "PBE", "state": "optimized geometry", "e_form_raw_ev_per_atom": 0.005, "space_group": "No. 38", "cell": [[10.1959, 0.0000, 0.0000], [0.0000, 3.1796, 5.5033], [0.0000, -3.1796, 5.5033]], "species": ["Mg", "Mg", "Mg", "Mg", "Mg", "Mg", "Mg", "Mg", "Mg", "Mg", "Mg", "Mg", "Mg", "Mg", "Si", "Sn"], "frac_coords": [[0.0000, 0.0000, 0.0000], [0.0000, 0.9998, 0.4952], [0.0000, 0.4952, 0.9998], [0.0000, 0.4988, 0.4988], [0.2475, 0.8308, 0.8308], [0.2564, 0.3338, 0.3338], [0.2572, 0.3366, 0.8264], [0.2572, 0.8264, 0.3366], [0.5000, 0.5010, 0.9982], [0.5000, 0.9982, 0.5010], [0.7428, 0.3366, 0.8264], [0.7428, 0.8264, 0.3366], [0.7436, 0.3338, 0.3338], [0.7525, 0.8308, 0.8308], [0.5000, 0.4918, 0.4918], [0.5000, 0.9956, 0.9956]]}

19.
{"formula": "Pr6Sb3AsSe2", "functional": "PBE", "state": "optimized geometry", "e_form_raw_ev_per_atom": -1.481, "space_group": "No. 12", "cell": [[3.8325, -6.6460, 0.0000], [3.8325, 6.6460, 0.0000], [-2.5531, 0.0000, 7.2175]], "species": ["Pr", "Pr", "Pr", "Pr", "Pr", "Pr", "Sb", "Sb", "Sb", "As", "Se", "Se"], "frac_coords": [[0.0794, 0.4072, 0.2384], [0.2481, 0.2481, 0.7607], [0.4072, 0.0794, 0.2384], [0.5928, 0.9206, 0.7616], [0.7519, 0.7519, 0.2393], [0.9206, 0.5928, 0.7616], [0.1683, 0.8317, 0.5000], [0.5000, 0.5000, 0.5000], [0.8317, 0.1683, 0.5000], [0.0000, 0.0000, 0.0000], [0.3338, 0.6662, 0.0000], [0.6662, 0.3338, 0.0000]]}

20.
{"formula": "MnReAs2", "functional": "PBE", "state": "optimized geometry", "e_above_lowest_polymorph_mev_per_atom": 164, "space_group": "No. 123", "e_form_ev_per_fu": 0.88, "cell": [[4.3214, 0.0000, 0.0000], [0.0000, 4.3214, 0.0000], [0.0000, 0.0000, 3.1061]], "species": ["Mn", "Re", "As", "As"], "frac_coords": [[0.0000, 0.0000, 0.0000], [0.5000, 0.5000, 0.0000], [0.0000, 0.5000, 0.5000], [0.5000, 0.0000, 0.5000]]}

21.
{"formula": "HfCrSN2", "functional": "PBE", "state": "optimized geometry", "e_form_raw_ev_per_atom": -0.058, "e_above_lowest_polymorph_mev_per_atom": 0, "space_group": "No. 123", "cell": [[3.6997, 0.0000, 0.0000], [0.0000, 3.6997, 0.0000], [0.0000, 0.0000, 4.5781]], "species": ["Hf", "Cr", "S", "N", "N"], "frac_coords": [[0.0000, 0.0000, 0.0000], [0.5000, 0.5000, 0.5000], [0.5000, 0.5000, 0.0000], [0.0000, 0.5000, 0.5000], [0.5000, 0.0000, 0.5000]]}